No. 1
4
Lattice="-3.138 -1.529 2.259 1.052 -2.610 -0.305 3.472 -0.732 4.327" Properties=species:S:1:pos:R:3 comment="GGA-PBE Mg2MnCo, relaxed" crystal_system=monoclinic relative_energy_mev_per_atom=123.6 total_energy_ev_per_atom=-4.659 formation_enthalpy_0k_kj_per_mol_atoms=20.0 pbc="T T T"
Co 1.692 -3.054 4.109
Mg 4.368 -3.235 3.877
Mg -0.311 -1.665 2.268
Mn 2.422 -1.929 2.059



No. 2
16
Lattice="-5.053 -4.985 -3.864 -0.970 -4.278 6.788 -1.725 8.210 0.116" Properties=species:S:1:pos:R:3 comment="GGA-PBE Ce5Ga2Ge, relaxed" crystal_system=tetragonal total_energy_ev_per_atom=-5.505 formation_enthalpy_0k_kj_per_mol_atoms=-44.6 pbc="T T T"
Ce -4.411 0.165 2.605
Ce -5.734 -5.743 3.504
Ce 0.000 0.000 0.000
Ce -3.012 -4.632 1.462
Ce -2.016 4.690 -0.464
Ce -4.689 1.552 -1.372
Ce -1.738 3.303 3.513
Ce -3.060 -2.605 4.412
Ce -6.011 -4.356 -0.473
Ce -3.338 -1.218 0.435
Ga -0.982 -2.225 2.097
Ga -3.260 -3.621 -1.576
Ga -2.764 -5.643 4.500
Ga -5.041 -7.038 0.827
Ge -5.381 -2.842 2.251
Ge -2.369 1.789 0.789



No. 3
6
Lattice="-0.245 -2.398 3.059 3.562 -2.844 -1.944 5.998 4.679 4.148" Properties=species:S:1:pos:R:3 comment="GGA-PBE La2Tl3Cu, relaxed" crystal_system=orthorhombic total_energy_ev_per_atom=-3.789 formation_enthalpy_0k_kj_per_mol_atoms=-27.1 pbc="T T T"
La 1.868 -1.354 -0.912
La 2.960 2.309 2.047
Tl 4.906 2.724 5.006
Tl 1.001 -0.322 2.306
Tl 5.509 0.383 3.220
Cu 3.606 -1.101 1.904



No. 4
8
Lattice="3.961 0.000 0.000 1.981 5.508 0.416 1.981 1.421 5.338" Properties=species:S:1:pos:R:3 comment="GGA-PBE TbB2Ir5, relaxed" crystal_system=orthorhombic total_energy_ev_per_atom=-8.171 formation_enthalpy_0k_kj_per_mol_atoms=-37.1 pbc="T T T"
Tb 0.000 0.000 0.000
B 5.942 5.132 4.262
B 1.981 1.797 1.492
Ir 1.981 3.464 2.877
Ir 3.961 3.285 0.989
Ir 3.961 3.644 4.765
Ir 3.961 5.353 2.707
Ir 3.961 1.576 3.047



No. 5
4
Lattice="-0.875 1.793 2.771 -3.289 -0.240 -0.883 -0.541 -5.833 3.603" Properties=species:S:1:pos:R:3 comment="GGA-PBE PmErNiRu, relaxed" crystal_system=tetragonal relative_energy_mev_per_atom=0.0 total_energy_ev_per_atom=-6.438 formation_enthalpy_0k_kj_per_mol_atoms=-33.3 pbc="T T T"
Pm -0.465 -5.015 3.098
Er -0.193 -2.083 1.287
Ni -2.402 -2.673 3.075
Ru -2.147 0.078 1.375



No. 6
5
Lattice="-3.607 -2.668 -1.326 3.565 -4.051 -1.546 -0.222 -1.836 4.298" Properties=species:S:1:pos:R:3 comment="GGA-PBE ReSbOsSe2, relaxed" crystal_system=tetragonal e_form_raw_ev_per_atom=1.47 total_energy_ev_per_atom=-5.487 pbc="T T T"
Re 0.000 0.000 0.000
Os -0.132 -4.277 0.713
Se -0.111 -0.918 2.149
Se -1.804 -1.334 -0.663
Sb 1.782 -2.025 -0.773



No. 7
4
Lattice="-1.461 2.198 4.476 1.461 -2.198 4.476 1.461 2.198 -4.476" Properties=species:S:1:pos:R:3 comment="GGA-PBE PRuW2, relaxed" crystal_system=orthorhombic total_energy_ev_per_atom=-10.255 formation_enthalpy_0k_kj_per_mol_atoms=-10.3 pbc="T T T"
P 0.000 0.000 4.537
Ru 0.000 2.198 1.937
W 0.000 0.000 8.865
W 1.461 0.000 2.565



No. 8
12
Lattice="5.766 0.000 0.000 -2.883 5.810 0.000 0.000 0.000 11.475" Properties=species:S:1:pos:R:3 comment="GGA-PBE TbSmYHo3, relaxed" crystal_system=orthorhombic total_energy_ev_per_atom=-4.799 formation_enthalpy_0k_kj_per_mol_atoms=12.1 pbc="T T T"
Tb 0.000 0.000 5.738
Tb 0.000 0.000 0.000
Sm 2.883 0.278 8.607
Sm 0.000 5.532 2.869
Y 2.883 3.811 8.607
Y 0.000 1.998 2.869
Ho 2.883 2.013 5.461
Ho 0.000 3.796 6.014
Ho 0.000 3.796 11.199
Ho 2.883 2.013 0.277
Ho 0.000 1.690 8.607
Ho 2.883 4.120 2.869



No. 9
8
Lattice="6.829 0.000 0.000 0.000 6.829 0.000 3.414 3.414 6.854" Properties=species:S:1:pos:R:3 comment="GGA-PBE InHgTe2, relaxed" crystal_system=tetragonal e_form_raw_ev_per_atom=-0.15 total_energy_ev_per_atom=-2.482 pbc="T T T"
Te 5.130 1.707 1.713
Te 1.699 5.122 1.713
Te 5.122 5.114 5.140
Te 8.536 8.544 5.140
Hg 0.000 0.000 0.000
Hg 6.829 3.414 3.427
In 3.414 3.414 0.000
In 3.414 6.829 3.427



No. 10
8
Lattice="-0.704 3.620 4.281 -5.528 0.289 -1.153 -1.105 -4.999 4.046" Properties=species:S:1:pos:R:3 comment="GGA-PBE TmHg2Pb, relaxed" crystal_system=orthorhombic total_energy_ev_per_atom=-2.411 formation_enthalpy_0k_kj_per_mol_atoms=-20.7 pbc="T T T"
Tm -1.944 -2.427 1.733
Tm -4.488 2.026 1.278
Hg -1.998 0.631 2.867
Hg -2.550 -1.867 4.889
Hg -4.987 -3.532 2.167
Hg -4.434 -1.032 0.144
Pb -5.038 -0.473 3.301
Pb -1.394 0.073 -0.291



No. 11
5
Lattice="-0.232 -3.623 -1.498 3.386 0.571 -1.906 2.739 -1.946 4.284" Properties=species:S:1:pos:R:3 comment="GGA-PBE AgTePO2, relaxed" crystal_system=tetragonal relative_energy_mev_per_atom=0.0 e_form_raw_ev_per_atom=-0.10 total_energy_ev_per_atom=-4.366 pbc="T T T"
P 1.369 -0.973 2.142
Te 0.000 0.000 0.000
O 1.693 0.285 -0.953
O -0.116 -1.812 -0.749
Ag 2.947 -2.499 0.440



No. 12
13
Lattice="7.177 0.000 0.000 3.588 6.215 0.000 3.588 2.072 5.860" Properties=species:S:1:pos:R:3 comment="GGA-PBE CsO12, relaxed" crystal_system=cubic e_form_raw_ev_per_atom=-0.16 total_energy_ev_per_atom=-4.805 pbc="T T T"
Cs 0.000 0.000 0.000
O 10.138 4.144 2.930
O 4.215 4.144 2.930
O 5.696 6.708 2.930
O 5.696 3.289 0.512
O 7.177 2.434 5.348
O 7.177 5.853 0.512
O 5.696 4.998 5.348
O 5.696 1.579 2.930
O 8.658 4.998 5.348
O 8.658 3.289 0.512
O 8.658 6.708 2.930
O 8.658 1.579 2.930